<P>
VASP calculation (GGA-PBE) on a geometry-optimized Hf31SO64 structure.

Geometry as POSCAR:
```
Hf31SO64
1.0
10.1044 0.0000 0.0000
0.1079 10.1383 0.0000
0.2337 0.2207 10.3570
Hf S O
31 1 64
Cartesian
0.0000 0.0000 0.0000 Hf
0.0845 2.5016 2.4944 Hf
0.2341 2.7157 7.9367 Hf
0.3976 7.7939 8.0156 Hf
2.3930 2.4616 5.1348 Hf
2.4688 7.4509 5.2198 Hf
2.5239 10.0386 2.7488 Hf
2.5387 4.9078 2.5836 Hf
2.5175 7.5165 0.2753 Hf
2.7178 0.3298 7.8550 Hf
2.8085 2.7778 10.3244 Hf
2.9143 5.3835 7.9764 Hf
4.9575 5.0657 5.2974 Hf
5.0352 7.6364 2.9305 Hf
5.1339 10.2120 5.3553 Hf
5.1124 2.5478 2.7974 Hf
5.2312 5.2565 0.0440 Hf
5.4011 2.9086 8.0041 Hf
5.5585 7.9935 8.0205 Hf
7.6091 7.7033 5.2135 Hf
7.5926 2.7213 5.2506 Hf
7.5745 5.1784 2.7193 Hf
7.5039 2.6107 0.2310 Hf
7.5667 7.8210 0.2714 Hf
7.6718 0.3933 7.7272 Hf
7.5757 0.2330 2.8747 Hf
7.7966 5.3954 7.7391 Hf
10.0392 5.0547 0.0665 Hf
10.1248 7.6312 2.6511 Hf
10.1822 5.0438 5.3924 Hf
10.2916 10.0649 5.4926 Hf
4.9978 9.9724 0.2064 S
1.0894 6.3377 4.1790 O
1.1308 8.8365 1.2395 O
1.1529 1.1928 4.1168 O
1.1725 3.7661 3.7027 O
1.2331 8.8220 3.8671 O
1.2428 1.2630 6.7716 O
1.2163 6.2973 1.6470 O
1.3102 3.7119 6.2863 O
1.2431 3.7830 1.0690 O
1.4004 6.3079 6.8210 O
1.5504 1.4244 9.3619 O
1.6358 6.4411 9.4579 O
1.6045 8.8690 6.4424 O
1.4218 1.2563 1.5369 O
1.6854 3.8935 8.8433 O
1.8420 8.9849 9.0092 O
3.3971 8.3504 2.0052 O
3.6601 1.3307 6.1866 O
3.5976 3.3098 1.6954 O
3.6912 6.2304 3.7689 O
3.6670 5.9515 1.1253 O
3.7362 3.7601 4.2386 O
3.8799 6.4842 6.3509 O
3.8575 8.8120 4.4838 O
3.7749 1.1698 3.6269 O
3.9583 1.6877 8.8128 O
3.9904 4.0032 6.8862 O
3.8479 0.5909 1.0697 O
4.1433 4.1594 9.4885 O
4.1709 6.7285 8.9639 O
4.2678 9.2369 7.1494 O
4.3458 9.1023 9.8412 O
5.8437 9.0267 1.1912 O
6.1973 6.4548 4.3189 O
6.2449 1.5436 6.7211 O
6.2354 3.9167 3.8025 O
6.3202 9.0002 3.7594 O
6.2635 6.5449 1.6595 O
6.2767 1.3786 4.2635 O
6.2580 3.9618 1.2548 O
6.4709 4.1052 6.3975 O
6.5071 6.6806 6.8403 O
6.4181 1.4636 1.6738 O
6.6439 4.2352 9.0301 O
6.6419 9.1670 6.3629 O
6.7544 6.6972 9.4144 O
6.8434 1.7707 9.1432 O
6.9516 9.1339 8.9887 O
8.5758 6.7505 3.5703 O
8.5771 8.8944 1.7598 O
8.6580 4.2561 4.3378 O
8.6875 1.7410 3.6362 O
8.8058 9.2423 4.3651 O
8.8131 1.3739 6.1964 O
8.7742 6.3199 1.0600 O
8.9224 6.4571 6.1816 O
8.8259 3.8753 1.7093 O
8.9689 3.8960 6.9094 O
8.9269 1.2745 1.1035 O
9.2120 9.0332 7.0087 O
9.2931 3.6704 9.5423 O
9.3444 6.1978 8.7425 O
9.2977 1.0811 8.7580 O
9.4836 8.6654 9.6610 O
```

space-group type: P1 (1)
total moment: 0.01 μB/f.u.

---

<Q>
VASP calculation (GGA-PBE) on a geometry-optimized Hf31SO64 structure.

Geometry as POSCAR:
```
Hf31SO64
1.0
10.2245 0.0000 0.0000
-0.0267 10.3073 0.0000
-1.7591 -0.0052 10.4301
Hf S O
31 1 64
Cartesian
0.0000 0.0000 0.0000 Hf
-0.4463 2.1488 2.6137 Hf
-1.7610 5.1667 10.4116 Hf
-1.2857 2.1454 7.7919 Hf
-0.4101 7.3052 2.6446 Hf
-1.2816 7.3027 7.7787 Hf
-0.8419 10.2409 5.2189 Hf
-0.8191 5.2192 5.2101 Hf
0.7909 9.9091 8.2612 Hf
1.6854 9.8704 2.9997 Hf
1.7330 4.7643 3.0417 Hf
0.8824 4.7237 8.2294 Hf
2.2119 2.6017 0.4422 Hf
2.2021 7.7188 0.4217 Hf
1.3394 2.5753 5.6371 Hf
4.6350 2.1177 2.6034 Hf
3.7928 2.1329 7.8104 Hf
4.6572 7.3098 2.5942 Hf
3.3258 10.2940 10.4084 Hf
5.1090 5.1462 0.0019 Hf
4.2646 5.0861 5.1565 Hf
4.3411 0.0395 5.2320 Hf
3.9167 7.2774 7.9072 Hf
7.3161 2.5767 0.4415 Hf
6.8983 4.7383 3.0480 Hf
6.4539 7.7369 5.6462 Hf
6.8853 9.8827 3.0359 Hf
6.0318 4.6932 8.2608 Hf
7.3401 7.7288 0.4769 Hf
6.0213 9.8752 8.2608 Hf
6.5161 2.5867 5.6479 Hf
1.8850 7.8918 5.8201 S
0.1085 8.8838 3.8960 O
-0.3732 8.9499 6.7653 O
0.6320 3.6963 1.4020 O
0.2028 3.5825 4.0219 O
-0.6718 3.6044 9.2243 O
-0.7029 8.7536 9.2792 O
-0.2245 3.6580 6.6066 O
0.6392 8.8384 1.3818 O
0.6428 6.1871 4.1119 O
0.1782 6.1132 6.8847 O
1.1254 1.0288 1.6196 O
1.1523 6.1993 1.5864 O
-0.1764 6.2578 9.4445 O
-0.1577 1.0949 9.4399 O
0.7397 1.0973 4.2348 O
0.3185 1.0712 6.8316 O
2.9458 3.2154 2.3316 O
2.5131 4.1154 4.9599 O
2.9524 8.4164 2.3062 O
1.6552 4.0522 10.1388 O
2.1119 3.2486 7.5235 O
2.1427 8.4368 7.3151 O
2.5274 9.0668 5.0013 O
1.6903 9.1074 10.0114 O
3.8831 1.4247 0.7405 O
3.4708 0.6164 3.3964 O
2.6066 0.6393 8.5229 O
3.4824 5.8155 3.3295 O
2.6108 5.8670 8.5076 O
3.9229 6.6262 0.7207 O
3.0640 1.4511 5.9300 O
3.0563 6.8411 5.8879 O
5.2869 3.6259 4.0244 O
5.7286 3.6776 1.4121 O
4.4301 3.6070 9.2268 O
5.2875 8.7814 4.0226 O
5.7314 8.8430 1.4050 O
4.8536 8.8463 6.6393 O
4.4340 8.7501 9.2442 O
4.9007 3.6668 6.6138 O
5.2901 6.1648 6.8324 O
6.2334 1.0385 1.6269 O
4.9242 1.0977 9.4491 O
6.2350 6.1872 1.6250 O
5.7887 6.2755 4.2394 O
5.8224 1.1342 4.2370 O
5.4087 1.0326 6.8401 O
4.9558 6.2482 9.4638 O
7.1357 8.3452 7.5585 O
7.6038 9.2323 4.9351 O
8.0547 8.3984 2.3283 O
6.7319 9.2250 10.1571 O
8.0779 3.2624 2.3069 O
6.7558 4.0437 10.1321 O
7.6509 4.0756 4.9192 O
7.2234 3.2277 7.5315 O
8.5245 5.8826 3.3484 O
8.5776 0.7024 3.3339 O
8.1259 6.6420 5.9320 O
9.0316 1.4891 0.7173 O
7.7005 5.8175 8.5453 O
9.0328 6.6309 0.7426 O
7.7473 0.6520 8.5368 O
8.1942 1.4690 5.9315 O
```

space-group type: P1 (1)
total moment: 0.00 μB/f.u.

---

<R>
VASP calculation (GGA-PBE) on a geometry-optimized Hf31SO64 structure.

Geometry as POSCAR:
```
Hf31SO64
1.0
10.0435 0.0000 0.0000
0.0268 10.0911 0.0000
0.0154 0.0070 10.4585
Hf S O
31 1 64
Cartesian
0.0000 0.0000 0.0000 Hf
0.0094 0.0113 5.2372 Hf
10.0518 2.5645 2.9879 Hf
0.0241 5.0601 0.0215 Hf
0.0587 7.5743 2.9724 Hf
0.0548 2.5359 8.2181 Hf
0.0578 5.0481 5.2678 Hf
2.2672 2.5038 0.4181 Hf
2.3156 10.0535 7.8155 Hf
2.3693 5.1306 7.9109 Hf
2.3794 2.4744 5.5258 Hf
2.4028 5.0724 2.6218 Hf
2.4173 7.5640 5.5729 Hf
2.4070 7.5820 0.3382 Hf
2.4185 10.0874 2.6195 Hf
5.0660 2.5574 2.9706 Hf
5.0861 7.5883 3.0035 Hf
5.0945 7.6130 8.1969 Hf
5.0917 0.0601 5.2587 Hf
5.1104 5.0772 5.2663 Hf
5.1230 0.0379 0.0676 Hf
5.1705 5.1035 0.0105 Hf
7.3339 0.1146 7.8618 Hf
7.3655 2.5472 5.6031 Hf
7.3772 5.0146 7.8594 Hf
7.3758 2.5631 0.3250 Hf
7.4253 7.6045 5.6180 Hf
7.4076 0.0379 2.6399 Hf
7.4144 5.0654 2.6462 Hf
7.4188 7.6058 0.3673 Hf
10.0354 7.5663 8.1803 Hf
4.5414 2.4709 8.4205 S
0.9801 3.8030 1.4414 O
0.9994 1.2632 6.8025 O
1.0296 8.8348 6.6135 O
1.0059 1.2754 1.5831 O
1.0357 6.3211 1.5801 O
1.0400 6.3246 6.8296 O
1.0454 8.8381 1.3819 O
1.1529 3.7885 6.6485 O
1.3874 8.8120 9.2113 O
1.4030 1.2606 4.1891 O
1.4292 6.3143 9.4273 O
1.4272 1.2415 9.4217 O
1.4256 6.3005 4.2101 O
1.4437 8.8239 4.0006 O
1.4405 3.7754 4.0088 O
1.4742 3.7915 9.2813 O
3.3383 0.6740 6.1155 O
3.3746 8.2933 7.3298 O
3.3739 3.2576 2.0364 O
3.3932 5.7299 6.1578 O
3.3790 0.7503 0.8730 O
3.3997 5.7645 0.8673 O
3.4116 8.2939 2.0775 O
3.4126 3.0712 7.5066 O
4.0110 0.9963 8.6973 O
4.0424 8.4414 9.8839 O
4.0519 0.7482 3.5107 O
4.0775 3.2424 4.7629 O
4.0969 5.7731 8.7556 O
4.0858 5.7800 3.5046 O
4.1007 8.2818 4.7240 O
4.1098 3.1338 9.8244 O
5.9812 3.7952 1.4302 O
6.0245 8.8575 6.6615 O
6.0406 1.2666 6.7071 O
6.0271 1.2872 1.5938 O
6.0481 6.3309 1.5798 O
6.0482 6.3560 6.8198 O
6.0507 8.8584 1.4175 O
6.1792 3.9058 6.5365 O
6.4179 3.8040 3.9890 O
6.4304 6.4082 9.4291 O
6.4349 8.8806 9.2504 O
6.4558 8.8615 4.0392 O
6.4454 1.2969 4.1509 O
6.4655 1.2448 9.4843 O
6.4683 6.3314 4.2037 O
6.6135 3.9342 9.4200 O
8.3709 3.2597 2.1028 O
8.3931 8.3566 7.3387 O
8.4000 5.7919 0.8979 O
8.4123 8.2955 2.1140 O
8.3956 0.7102 0.9058 O
8.4133 0.7485 6.1302 O
8.4604 3.2709 7.3255 O
8.4639 5.8466 6.1452 O
9.0947 0.7421 8.7256 O
9.1085 5.7554 8.7422 O
9.1118 8.2914 9.9488 O
9.0997 0.7383 3.5033 O
9.1094 3.2642 4.7301 O
9.1157 8.3033 4.7116 O
9.1234 5.7584 3.5070 O
9.1826 3.2068 9.9858 O
```

space-group type: P1 (1)
total moment: 0.02 μB/f.u.

---

Which one is the least stable? From the structures above, <P>.